Density functional theory data (PBE) for a relaxed Ga2PtAu2 crystal.

Values from the calculation:
The calculation puts the distance to the lowest polymorph of the same formula at 191 meV/atom. As for the calculated formation energy: -0.0494 eV per atom. For the uncorrected energy, the calculation gives -18.9 eV/f.u. As for the mass density: 13.959 g/cm3. The density of states at the Fermi level is 1.78 states/eV/f.u.

Cell: 7.3599 7.3599 3.1996 Å, 90.00 90.00 90.00°
Fractional positions:
Ga 0.1670 0.3330 0.0000
Ga 0.3330 0.8330 0.0000
Ga 0.6670 0.1670 0.0000
Ga 0.8330 0.6670 0.0000
Pt 0.0000 0.0000 0.5000
Pt 0.5000 0.5000 0.5000
Au 0.1376 0.6376 0.5000
Au 0.3624 0.1376 0.5000
Au 0.6376 0.8624 0.5000
Au 0.8624 0.3624 0.5000